8
Lattice="4.071 0.000 0.000 -2.035 3.525 0.000 0.000 0.000 8.327" Properties=species:S:1:pos:R:3 comment="LuGaNi2 (meta-GGA SCAN, PBEsol geometry)" formation_energy_ev_per_atom=-0.636 sg="P6_3/mmc, No. 194" volume_a3_per_cell=119.5 n_ef_per_ev_fu=2.47 pbc="T T T"
Ni 2.035 1.175 0.608
Ni 0.000 2.350 7.719
Ni 0.000 2.350 4.772
Ni 2.035 1.175 3.555
Lu 2.035 1.175 6.245
Lu 0.000 2.350 2.082
Ga 0.000 0.000 0.000
Ga 0.000 0.000 4.164

=====

4
Lattice="-1.086 0.195 3.855 4.471 -3.555 1.440 4.849 5.692 -1.006" Properties=species:S:1:pos:R:3 comment="Sr2LiCa (meta-GGA SCAN, PBEsol geometry)" formation_energy_ev_per_atom=0.076 sg="Pm, No. 6" volume_a3_per_cell=171.8 n_ef_per_ev_fu=3.05 pbc="T T T"
Sr 3.685 5.680 2.580
Sr 2.963 -0.079 2.651
Ca 2.234 2.891 0.199
Li 5.539 2.575 1.205